w:
Compound: MnGaCoAuSeO
Source: Alexandria via LeMat-Bulk
Functional: PBE with a Hubbard U
Structure: relaxed

CIF file:
```
data_MnGaCoAuSeO
_space_group_name_H-M_alt 'I m m 2'
_space_group_IT_number 44
_space_group_name_Hall 'I 2 -2'
_cell_length_a 3.498
_cell_length_b 4.492
_cell_length_c 14.951
_cell_angle_alpha 90.00
_cell_angle_beta 90.00
_cell_angle_gamma 90.00
loop_
_atom_site_label
_atom_site_fract_x
_atom_site_fract_y
_atom_site_fract_z
Mn1 0.000 0.000 0.000
Ga1 0.000 0.500 0.701
Co1 0.000 0.000 0.554
Au1 0.000 0.500 0.198
Se1 0.000 0.500 0.924
O1 0.000 0.500 0.569
```

Summary:
**Theoretical density**: 6.72 g/cm³
**D(E_F)**: 2.5 states/eV/cell



x:
Compound: MnGaCoAuSeO
Source: Alexandria via LeMat-Bulk
Functional: PBE with a Hubbard U
Structure: relaxed

CIF file:
```
data_MnGaCoAuSeO
_space_group_name_H-M_alt 'A m m 2'
_space_group_IT_number 38
_space_group_name_Hall 'A 2 -2'
_cell_length_a 4.091
_cell_length_b 3.507
_cell_length_c 16.169
_cell_angle_alpha 90.00
_cell_angle_beta 90.00
_cell_angle_gamma 90.00
loop_
_atom_site_label
_atom_site_fract_x
_atom_site_fract_y
_atom_site_fract_z
Mn1 0.000 0.000 0.000
Ga1 0.500 0.000 0.338
Co1 0.500 0.000 0.578
Au1 0.000 0.000 0.829
Se1 0.000 0.000 0.656
O1 0.500 0.000 0.016
```

Summary:
**Theoretical density**: 6.81 g/cm³
**D(E_F)**: 5.8 states/eV/cell



y:
Compound: MnGaCoAuSeO
Source: Alexandria via LeMat-Bulk
Functional: PBE with a Hubbard U
Structure: relaxed

CIF file:
```
data_MnGaCoAuSeO
_space_group_name_H-M_alt 'C 1 m 1'
_space_group_IT_number 8
_space_group_name_Hall 'C -2y'
_cell_length_a 11.270
_cell_length_b 3.760
_cell_length_c 5.804
_cell_angle_alpha 90.00
_cell_angle_beta 117.26
_cell_angle_gamma 90.00
loop_
_atom_site_label
_atom_site_fract_x
_atom_site_fract_y
_atom_site_fract_z
Mn1 0.000 0.000 0.000
Ga1 0.327 0.000 0.422
Co1 0.245 0.500 0.077
Au1 0.498 0.500 0.484
Se1 0.254 0.000 0.786
O1 0.070 0.500 0.044
```

Summary:
**Theoretical density**: 7.22 g/cm³
**D(E_F)**: 3.2 states/eV/cell



z:
Compound: MnGaCoAuSeO
Source: Alexandria via LeMat-Bulk
Functional: PBE with a Hubbard U
Structure: relaxed

CIF file:
```
data_MnGaCoAuSeO
_space_group_name_H-M_alt 'P 1'
_space_group_IT_number 1
_space_group_name_Hall 'P 1'
_cell_length_a 3.932
_cell_length_b 5.304
_cell_length_c 5.860
_cell_angle_alpha 116.17
_cell_angle_beta 101.98
_cell_angle_gamma 91.78
loop_
_atom_site_label
_atom_site_fract_x
_atom_site_fract_y
_atom_site_fract_z
Mn1 0.000 0.000 0.000
Ga1 0.508 0.561 0.119
Co1 0.601 0.279 0.430
Au1 0.101 0.598 0.406
Se1 0.170 0.189 0.663
O1 0.520 0.889 0.061
```

Summary:
**Theoretical density**: 7.43 g/cm³
**D(E_F)**: 0.9 states/eV/cell



z (14 meV per atom below the next structure)



w:
Compound: MnGaCoAuSeO
Source: Alexandria via LeMat-Bulk
Functional: PBE with a Hubbard U
Structure: relaxed

CIF file:
```
data_MnGaCoAuSeO
_space_group_name_H-M_alt 'P m m 2'
_space_group_IT_number 25
_space_group_name_Hall 'P 2 -2'
_cell_length_a 3.955
_cell_length_b 4.178
_cell_length_c 6.777
_cell_angle_alpha 90.00
_cell_angle_beta 90.00
_cell_angle_gamma 90.00
loop_
_atom_site_label
_atom_site_fract_x
_atom_site_fract_y
_atom_site_fract_z
Mn1 0.000 0.000 0.000
Ga1 0.000 0.500 0.655
Co1 0.500 0.500 0.040
Au1 0.500 0.000 0.677
Se1 0.500 0.000 0.260
O1 0.000 0.500 0.964
```

Summary:
**Theoretical density**: 7.05 g/cm³
**D(E_F)**: 1.4 states/eV/cell



x:
Compound: MnGaCoAuSeO
Source: Alexandria via LeMat-Bulk
Functional: PBE with a Hubbard U
Structure: relaxed

CIF file:
```
data_MnGaCoAuSeO
_space_group_name_H-M_alt 'C 1 m 1'
_space_group_IT_number 8
_space_group_name_Hall 'C -2y'
_cell_length_a 17.721
_cell_length_b 3.344
_cell_length_c 3.821
_cell_angle_alpha 90.00
_cell_angle_beta 96.90
_cell_angle_gamma 90.00
loop_
_atom_site_label
_atom_site_fract_x
_atom_site_fract_y
_atom_site_fract_z
Mn1 0.000 0.000 0.000
Ga1 0.212 0.000 0.879
Co1 0.108 0.500 0.574
Au1 0.256 0.500 0.408
Se1 0.406 0.500 0.448
O1 0.071 0.500 0.038
```

Summary:
**Theoretical density**: 7.03 g/cm³
**D(E_F)**: 2.7 states/eV/cell



w (112 meV per atom below the next structure)